1.
Zr2CrTe: optimized geometry, PBE.

The structure in CIF format:
```
data_Zr2CrTe
_space_group_name_H-M_alt 'P 1'
_space_group_IT_number 1
_cell_length_a 4.3272
_cell_length_b 5.5554
_cell_length_c 5.5554
_cell_angle_alpha 38.08
_cell_angle_beta 90.00
_cell_angle_gamma 90.00
loop_
_space_group_symop_operation_xyz
'x,y,z'
loop_
_atom_site_label
_atom_site_type_symbol
_atom_site_fract_x
_atom_site_fract_y
_atom_site_fract_z
Zr1 Zr 0.0000 0.0000 0.0000
Zr2 Zr 0.5000 0.3002 0.3002
Cr1 Cr 0.5000 0.5547 0.5547
Te1 Te 0.0000 0.7207 0.7207
```

Calculated values
Fermi-level density of states: 4.00 states/eV per cell
spin magnetization: 1.7 μB per cell
space-group type: No. 38
formation energy (no corrections): -4.4 kcal/mol of atoms
final energy: -7.655 eV/atom

2.
Ba2BeMo: optimized geometry, PBE.

The structure in CIF format:
```
data_Ba2BeMo
_space_group_name_H-M_alt 'P 1'
_space_group_IT_number 1
_cell_length_a 6.8493
_cell_length_b 6.8493
_cell_length_c 6.8493
_cell_angle_alpha 146.31
_cell_angle_beta 135.59
_cell_angle_gamma 56.88
loop_
_space_group_symop_operation_xyz
'x,y,z'
loop_
_atom_site_label
_atom_site_type_symbol
_atom_site_fract_x
_atom_site_fract_y
_atom_site_fract_z
Ba1 Ba 0.0000 0.0000 0.0000
Ba2 Ba 0.7176 0.2176 0.5000
Be1 Be 0.3009 0.8009 0.5000
Mo1 Mo 0.4028 0.4028 0.0000
```

Calculated values
energy of formation: 794 meV/atom
Fermi-level density of states: 3.72 states/eV per cell
spin magnetization: 1.6 μB per cell
space-group type: No. 44
final energy: -3.807 eV/atom

3.
Ta3MnC: optimized geometry, PBE.

The structure in CIF format:
```
data_Ta3MnC
_space_group_name_H-M_alt 'P 1'
_space_group_IT_number 1
_cell_length_a 4.2382
_cell_length_b 4.2382
_cell_length_c 4.2382
_cell_angle_alpha 90.00
_cell_angle_beta 90.00
_cell_angle_gamma 90.00
loop_
_space_group_symop_operation_xyz
'x,y,z'
loop_
_atom_site_label
_atom_site_type_symbol
_atom_site_fract_x
_atom_site_fract_y
_atom_site_fract_z
Ta1 Ta 0.0000 0.0000 0.5000
Ta2 Ta 0.0000 0.5000 0.0000
Ta3 Ta 0.5000 0.0000 0.0000
Mn1 Mn 0.5000 0.5000 0.5000
C1 C 0.0000 0.0000 0.0000
```

Calculated values
energy of formation: 79 meV/atom
Fermi-level density of states: 10.21 states/eV per cell
spin magnetization: 0.0 μB per cell
space-group type: No. 221
final energy: -10.711 eV/atom
excess energy over the best structure of this formula in the dataset: 0.000 eV/atom

4.
RbNpFe2Se4: optimized geometry, PBE.

The structure in CIF format:
```
data_RbNpFe2Se4
_space_group_name_H-M_alt 'P 1'
_space_group_IT_number 1
_cell_length_a 6.6794
_cell_length_b 6.6794
_cell_length_c 6.6794
_cell_angle_alpha 120.14
_cell_angle_beta 108.66
_cell_angle_gamma 100.25
loop_
_space_group_symop_operation_xyz
'x,y,z'
loop_
_atom_site_label
_atom_site_type_symbol
_atom_site_fract_x
_atom_site_fract_y
_atom_site_fract_z
Rb1 Rb 0.0000 0.0000 0.0000
Np1 Np 0.5000 0.5000 0.0000
Fe1 Fe 0.3585 0.8585 0.5000
Fe2 Fe 0.6415 0.1415 0.5000
Se1 Se 0.1099 0.0723 0.5619
Se2 Se 0.4896 0.9277 0.0376
Se3 Se 0.5104 0.5480 0.4381
Se4 Se 0.8901 0.4520 0.9624
```

Calculated values
Fermi-level density of states: 10.96 states/eV per cell
spin magnetization: 3.9 μB per cell
space-group type: No. 23
formation energy (no corrections): -9.3 kcal/mol of atoms
final energy: -5.998 eV/atom

5.
Nd2Au5F21: optimized geometry, PBE.

The structure in CIF format:
```
data_Nd2Au5F21
_space_group_name_H-M_alt 'P 1'
_space_group_IT_number 1
_cell_length_a 8.4294
_cell_length_b 8.4294
_cell_length_c 26.3113
_cell_angle_alpha 90.00
_cell_angle_beta 90.00
_cell_angle_gamma 90.00
loop_
_space_group_symop_operation_xyz
'x,y,z'
loop_
_atom_site_label
_atom_site_type_symbol
_atom_site_fract_x
_atom_site_fract_y
_atom_site_fract_z
Nd1 Nd 0.0515 0.4277 0.4984
Nd2 Nd 0.0723 0.5515 0.7484
Nd3 Nd 0.4277 0.0515 0.5016
Nd4 Nd 0.4485 0.9277 0.7516
Nd5 Nd 0.5515 0.0723 0.2516
Nd6 Nd 0.5723 0.9485 0.0016
Nd7 Nd 0.9277 0.4485 0.2484
Nd8 Nd 0.9485 0.5723 0.9984
Au1 Au 0.0645 0.0645 0.0000
Au2 Au 0.0990 0.1435 0.8439
Au3 Au 0.1435 0.0990 0.1561
Au4 Au 0.1773 0.2055 0.6393
Au5 Au 0.2055 0.1773 0.3607
Au6 Au 0.2945 0.6773 0.8893
Au7 Au 0.3227 0.7055 0.6107
Au8 Au 0.3565 0.5990 0.0939
Au9 Au 0.4010 0.6435 0.4061
Au10 Au 0.4355 0.5645 0.2500
Au11 Au 0.5645 0.4355 0.7500
Au12 Au 0.5990 0.3565 0.9061
Au13 Au 0.6435 0.4010 0.5939
Au14 Au 0.6773 0.2945 0.1107
Au15 Au 0.7055 0.3227 0.3893
Au16 Au 0.7945 0.8227 0.8607
Au17 Au 0.8227 0.7945 0.1393
Au18 Au 0.8565 0.9010 0.6561
Au19 Au 0.9010 0.8565 0.3439
Au20 Au 0.9355 0.9355 0.5000
F1 F 0.0224 0.8519 0.6072
F2 F 0.0411 0.3094 0.7943
F3 F 0.0496 0.3223 0.6898
F4 F 0.0645 0.2971 0.9984
F5 F 0.0645 0.3194 0.5853
F6 F 0.0684 0.8308 0.9995
F7 F 0.0820 0.2984 0.4110
F8 F 0.0855 0.2851 0.1986
F9 F 0.0849 0.8042 0.3843
F10 F 0.0895 0.2810 0.3047
F11 F 0.1481 0.9776 0.8928
F12 F 0.1692 0.9316 0.5005
F13 F 0.1777 0.5496 0.9398
F14 F 0.1806 0.5645 0.8353
F15 F 0.1906 0.5411 0.0443
F16 F 0.1958 0.9151 0.1157
F17 F 0.2016 0.5820 0.6610
F18 F 0.2029 0.5645 0.2484
F19 F 0.2149 0.5855 0.4486
F20 F 0.2190 0.5895 0.5547
F21 F 0.2245 0.7755 0.7500
F22 F 0.2755 0.2755 0.5000
F23 F 0.2810 0.0895 0.6953
F24 F 0.2851 0.0855 0.8014
F25 F 0.2971 0.0645 0.0016
F26 F 0.2984 0.0820 0.5890
F27 F 0.3042 0.4151 0.1343
F28 F 0.3094 0.0411 0.2057
F29 F 0.3194 0.0645 0.4147
F30 F 0.3223 0.0496 0.3102
F31 F 0.3308 0.4316 0.7495
F32 F 0.3519 0.4776 0.3572
F33 F 0.4105 0.7810 0.9453
F34 F 0.4151 0.3042 0.8657
F35 F 0.4145 0.7851 0.0514
F36 F 0.4180 0.7984 0.8390
F37 F 0.4316 0.3308 0.2505
F38 F 0.4355 0.8194 0.6647
F39 F 0.4355 0.7971 0.2516
F40 F 0.4504 0.8223 0.5602
F41 F 0.4589 0.8094 0.4557
F42 F 0.4776 0.3519 0.6428
F43 F 0.5224 0.6481 0.1428
F44 F 0.5411 0.1906 0.9557
F45 F 0.5496 0.1777 0.0602
F46 F 0.5645 0.2029 0.7516
F47 F 0.5645 0.1806 0.1647
F48 F 0.5684 0.6692 0.7505
F49 F 0.5820 0.2016 0.3390
F50 F 0.5855 0.2149 0.5514
F51 F 0.5849 0.6958 0.3657
F52 F 0.5895 0.2190 0.4453
F53 F 0.6481 0.5224 0.8572
F54 F 0.6692 0.5684 0.2495
F55 F 0.6777 0.9504 0.8102
F56 F 0.6806 0.9355 0.9147
F57 F 0.6906 0.9589 0.7057
F58 F 0.6958 0.5849 0.6343
F59 F 0.7016 0.9180 0.0890
F60 F 0.7029 0.9355 0.5016
F61 F 0.7149 0.9145 0.3014
F62 F 0.7190 0.9105 0.1953
F63 F 0.7245 0.7245 0.0000
F64 F 0.7755 0.2245 0.2500
F65 F 0.7810 0.4105 0.0547
F66 F 0.7851 0.4145 0.9486
F67 F 0.7971 0.4355 0.7484
F68 F 0.7984 0.4180 0.1610
F69 F 0.8042 0.0849 0.6157
F70 F 0.8094 0.4589 0.5443
F71 F 0.8194 0.4355 0.3353
F72 F 0.8223 0.4504 0.4398
F73 F 0.8308 0.0684 0.0005
F74 F 0.8519 0.0224 0.3928
F75 F 0.9105 0.7190 0.8047
F76 F 0.9151 0.1958 0.8843
F77 F 0.9145 0.7149 0.6986
F78 F 0.9180 0.7016 0.9110
F79 F 0.9316 0.1692 0.4995
F80 F 0.9355 0.6806 0.0853
F81 F 0.9355 0.7029 0.4984
F82 F 0.9504 0.6777 0.1898
F83 F 0.9589 0.6906 0.2943
F84 F 0.9776 0.1481 0.1072
```

Calculated values
spin magnetization: 0.0 μB per cell
space-group type: No. 92
formation energy (no corrections): -44.0 kcal/mol of atoms
final energy: -4.239 eV/atom

6.
RbF3: optimized geometry, PBE.

The structure in CIF format:
```
data_RbF3
_space_group_name_H-M_alt 'P 1'
_space_group_IT_number 1
_cell_length_a 5.8006
_cell_length_b 5.8006
_cell_length_c 5.4884
_cell_angle_alpha 90.00
_cell_angle_beta 90.00
_cell_angle_gamma 107.66
loop_
_space_group_symop_operation_xyz
'x,y,z'
loop_
_atom_site_label
_atom_site_type_symbol
_atom_site_fract_x
_atom_site_fract_y
_atom_site_fract_z
Rb1 Rb 0.1593 0.8407 0.7500
Rb2 Rb 0.8407 0.1593 0.2500
F1 F 0.0938 0.3287 0.7500
F2 F 0.2589 0.7411 0.2500
F3 F 0.3287 0.0938 0.2500
F4 F 0.6713 0.9062 0.7500
F5 F 0.7411 0.2589 0.7500
F6 F 0.9062 0.6713 0.2500
```

Calculated values
spin magnetization: 4.0 μB per cell
space-group type: No. 63
formation energy (no corrections): -31.1 kcal/mol of atoms
final energy: -2.994 eV/atom

7.
TbPr2Zr: optimized geometry, PBE.

The structure in CIF format:
```
data_TbPr2Zr
_space_group_name_H-M_alt 'P 1'
_space_group_IT_number 1
_cell_length_a 12.4126
_cell_length_b 12.4126
_cell_length_c 12.4126
_cell_angle_alpha 15.92
_cell_angle_beta 15.92
_cell_angle_gamma 15.92
loop_
_space_group_symop_operation_xyz
'x,y,z'
loop_
_atom_site_label
_atom_site_type_symbol
_atom_site_fract_x
_atom_site_fract_y
_atom_site_fract_z
Tb1 Tb 0.0000 0.0000 0.0000
Pr1 Pr 0.4148 0.4148 0.4148
Pr2 Pr 0.5852 0.5852 0.5852
Zr1 Zr 0.5000 0.5000 0.5000
```

Calculated values
energy of formation: 325 meV/atom
Fermi-level density of states: 5.25 states/eV per cell
spin magnetization: 0.0 μB per cell
space-group type: No. 166
final energy: -5.359 eV/atom
excess energy over the best structure of this formula in the dataset: 0.187 eV/atom

8.
Li8Bi6Pd: optimized geometry, PBE.

The structure in CIF format:
```
data_Li8Bi6Pd
_space_group_name_H-M_alt 'P 1'
_space_group_IT_number 1
_cell_length_a 7.4117
_cell_length_b 7.4117
_cell_length_c 7.4117
_cell_angle_alpha 72.26
_cell_angle_beta 72.26
_cell_angle_gamma 72.26
loop_
_space_group_symop_operation_xyz
'x,y,z'
loop_
_atom_site_label
_atom_site_type_symbol
_atom_site_fract_x
_atom_site_fract_y
_atom_site_fract_z
Li1 Li 0.1544 0.4413 0.6479
Li2 Li 0.2024 0.2024 0.2024
Li3 Li 0.3521 0.8456 0.5587
Li4 Li 0.4413 0.6479 0.1544
Li5 Li 0.5587 0.3521 0.8456
Li6 Li 0.6479 0.1544 0.4413
Li7 Li 0.7976 0.7976 0.7976
Li8 Li 0.8456 0.5587 0.3521
Bi1 Bi 0.0526 0.8297 0.3832
Bi2 Bi 0.1703 0.6168 0.9474
Bi3 Bi 0.3832 0.0526 0.8297
Bi4 Bi 0.6168 0.9474 0.1703
Bi5 Bi 0.8297 0.3832 0.0526
Bi6 Bi 0.9474 0.1703 0.6168
Pd1 Pd 0.0000 0.0000 0.0000
```

Calculated values
energy of formation: -336 meV/atom
Fermi-level density of states: 4.16 states/eV per cell
spin magnetization: 0.0 μB per cell
space-group type: No. 148
final energy: -3.255 eV/atom

9.
MgInHRh2: optimized geometry, PBE.

The structure in CIF format:
```
data_MgInHRh2
_space_group_name_H-M_alt 'P 1'
_space_group_IT_number 1
_cell_length_a 4.1514
_cell_length_b 4.1514
_cell_length_c 3.9375
_cell_angle_alpha 90.00
_cell_angle_beta 90.00
_cell_angle_gamma 90.00
loop_
_space_group_symop_operation_xyz
'x,y,z'
loop_
_atom_site_label
_atom_site_type_symbol
_atom_site_fract_x
_atom_site_fract_y
_atom_site_fract_z
Mg1 Mg 0.0000 0.0000 0.0000
In1 In 0.5000 0.5000 0.0000
H1 H 0.5000 0.5000 0.5000
Rh1 Rh 0.0000 0.5000 0.5000
Rh2 Rh 0.5000 0.0000 0.5000
```

Calculated values
Fermi-level density of states: 1.44 states/eV per cell
spin magnetization: 0.0 μB per cell
space-group type: No. 123
final energy: -4.670 eV/atom
excess energy over the best structure of this formula in the dataset: 0.188 eV/atom

10.
HgMoW2: optimized geometry, PBE.

The structure in CIF format:
```
data_HgMoW2
_space_group_name_H-M_alt 'P 1'
_space_group_IT_number 1
_cell_length_a 5.3552
_cell_length_b 5.3552
_cell_length_c 5.3552
_cell_angle_alpha 144.13
_cell_angle_beta 129.98
_cell_angle_gamma 63.07
loop_
_space_group_symop_operation_xyz
'x,y,z'
loop_
_atom_site_label
_atom_site_type_symbol
_atom_site_fract_x
_atom_site_fract_y
_atom_site_fract_z
Hg1 Hg 0.0000 0.0000 0.0000
Mo1 Mo 0.5000 0.5000 0.0000
W1 W 0.2673 0.7673 0.5000
W2 W 0.7327 0.2327 0.5000
```

Calculated values
energy of formation: 541 meV/atom
Fermi-level density of states: 1.79 states/eV per cell
spin magnetization: 0.0 μB per cell
space-group type: No. 71
final energy: -8.718 eV/atom

11.
CaHf3Ag: optimized geometry, PBE.

The structure in CIF format:
```
data_CaHf3Ag
_space_group_name_H-M_alt 'P 1'
_space_group_IT_number 1
_cell_length_a 5.0407
_cell_length_b 5.0407
_cell_length_c 5.0407
_cell_angle_alpha 90.00
_cell_angle_beta 90.00
_cell_angle_gamma 90.00
loop_
_space_group_symop_operation_xyz
'x,y,z'
loop_
_atom_site_label
_atom_site_type_symbol
_atom_site_fract_x
_atom_site_fract_y
_atom_site_fract_z
Ca1 Ca 0.0000 0.0000 0.0000
Hf1 Hf 0.0000 0.0000 0.5000
Hf2 Hf 0.0000 0.5000 0.0000
Hf3 Hf 0.5000 0.0000 0.0000
Ag1 Ag 0.5000 0.5000 0.5000
```

Calculated values
energy of formation: 1840 meV/atom
Fermi-level density of states: 8.53 states/eV per cell
spin magnetization: 0.0 μB per cell
space-group type: No. 221
final energy: -5.102 eV/atom
excess energy over the best structure of this formula in the dataset: 0.940 eV/atom

12.
BaAlCl2: optimized geometry, PBE.

The structure in CIF format:
```
data_BaAlCl2
_space_group_name_H-M_alt 'P 1'
_space_group_IT_number 1
_cell_length_a 5.7279
_cell_length_b 5.7279
_cell_length_c 5.6586
_cell_angle_alpha 114.77
_cell_angle_beta 114.77
_cell_angle_gamma 98.52
loop_
_space_group_symop_operation_xyz
'x,y,z'
loop_
_atom_site_label
_atom_site_type_symbol
_atom_site_fract_x
_atom_site_fract_y
_atom_site_fract_z
Ba1 Ba 0.0000 0.0000 0.0000
Al1 Al 0.5000 0.5000 0.0000
Cl1 Cl 0.0000 0.5000 0.5000
Cl2 Cl 0.5000 0.0000 0.5000
```

Calculated values
Fermi-level density of states: 1.11 states/eV per cell
spin magnetization: 0.0 μB per cell
space-group type: No. 12
formation energy (no corrections): -26.3 kcal/mol of atoms
final energy: -3.479 eV/atom
excess energy over the best structure of this formula in the dataset: 0.081 eV/atom